A plane-wave DFT calculation with PBE was carried out for a relaxed Hf2TlAu crystal.

abc: 6.951 6.951 6.951
angles: 90.00 90.00 90.00
Fractional coordinates of all 16 atoms:
Hf  0.250  0.250  0.250
Hf  0.250  0.250  0.750
Hf  0.250  0.750  0.250
Hf  0.250  0.750  0.750
Hf  0.750  0.250  0.250
Hf  0.750  0.250  0.750
Hf  0.750  0.750  0.250
Hf  0.750  0.750  0.750
Tl  0.000  0.000  0.000
Tl  0.000  0.500  0.500
Tl  0.500  0.000  0.500
Tl  0.500  0.500  0.000
Au  0.000  0.000  0.500
Au  0.000  0.500  0.000
Au  0.500  0.000  0.000
Au  0.500  0.500  0.500

As for the density: 14.998 g cm⁻³. Its volume is 84 Å³/f.u. Its energy relative to the elements is -84 meV/atom.